MgTlIn2: optimized geometry, GGA-PBEsol.

abc: 7.3979 7.3979 7.3979
angles: 90.00 90.00 90.00
With the nearest neighbours (Å) after each atom.
Space group F-43m (No. 216)
One atom of each set of equivalent atoms:
Mg 0.0000 0.0000 0.0000 (multiplicity 4)  4 In 3.20, 4 Tl 3.20
Tl 0.2500 0.2500 0.7500 (multiplicity 4)  4 Mg 3.20, 4 In 3.20
In 0.0000 0.0000 0.5000 (multiplicity 4)  4 Tl 3.20, 4 In 3.20
In 0.2500 0.2500 0.2500 (multiplicity 4)  4 In 3.20, 4 Mg 3.20

Output
Its total energy is -10.35 eV per formula unit. The value obtained for the calculated volume is 405 Å³/cell. For the formation enthalpy at 0 K, the calculation gives -0.009 eV/atom. The calculation puts the density at 7.52 g/cm³.

Fe2P12W: optimized geometry, GGA-PBEsol.

abc: 13.6390 5.6269 11.0157
angles: 90.00 90.00 90.00
With the nearest neighbours (Å) after each atom.
Space group Pbcn (No. 60)
One atom of each set of equivalent atoms:
Fe 0.1502 0.1031 0.0413 (multiplicity 8)  6 P 2.13-2.23
P 0.0091 0.2572 0.1021 (multiplicity 8)  1 Fe 2.21, 2 P 2.27-2.28
P 0.0868 0.0641 0.8563 (multiplicity 8)  1 Fe 2.23, 2 P 2.23-2.28
P 0.0918 0.2644 0.5619 (multiplicity 8)  1 Fe 2.23, 2 P 2.25-2.27
P 0.1676 0.4834 0.3046 (multiplicity 8)  3 P 2.24-2.25, 1 W 2.45
P 0.1894 0.1173 0.2286 (multiplicity 8)  1 Fe 2.13, 3 P 2.23-2.25
P 0.2033 0.4655 0.0012 (multiplicity 8)  2 Fe 2.19-2.21, 2 P 2.24-2.25
W 0.0000 0.3992 0.7500 (multiplicity 4)  8 P 2.45-2.54

Output
Its total energy is -107.87 eV per formula unit. The value obtained for the calculated volume is 845 Å³/cell. For the formation enthalpy at 0 K, the calculation gives -0.443 eV/atom. The calculation puts the density at 5.24 g/cm³.

Please write out number 2 again, unchanged.
Fe2P12W: optimized geometry, GGA-PBEsol.

abc: 13.6390 5.6269 11.0157
angles: 90.00 90.00 90.00
With the nearest neighbours (Å) after each atom.
Space group Pbcn (No. 60)
One atom of each set of equivalent atoms:
Fe 0.1502 0.1031 0.0413 (multiplicity 8)  6 P 2.13-2.23
P 0.0091 0.2572 0.1021 (multiplicity 8)  1 Fe 2.21, 2 P 2.27-2.28
P 0.0868 0.0641 0.8563 (multiplicity 8)  1 Fe 2.23, 2 P 2.23-2.28
P 0.0918 0.2644 0.5619 (multiplicity 8)  1 Fe 2.23, 2 P 2.25-2.27
P 0.1676 0.4834 0.3046 (multiplicity 8)  3 P 2.24-2.25, 1 W 2.45
P 0.1894 0.1173 0.2286 (multiplicity 8)  1 Fe 2.13, 3 P 2.23-2.25
P 0.2033 0.4655 0.0012 (multiplicity 8)  2 Fe 2.19-2.21, 2 P 2.24-2.25
W 0.0000 0.3992 0.7500 (multiplicity 4)  8 P 2.45-2.54

Output
Its total energy is -107.87 eV per formula unit. The value obtained for the calculated volume is 845 Å³/cell. For the formation enthalpy at 0 K, the calculation gives -0.443 eV/atom. The calculation puts the density at 5.24 g/cm³.

What did the first record say?
MgTlIn2: optimized geometry, GGA-PBEsol.

abc: 7.3979 7.3979 7.3979
angles: 90.00 90.00 90.00
With the nearest neighbours (Å) after each atom.
Space group F-43m (No. 216)
One atom of each set of equivalent atoms:
Mg 0.0000 0.0000 0.0000 (multiplicity 4)  4 In 3.20, 4 Tl 3.20
Tl 0.2500 0.2500 0.7500 (multiplicity 4)  4 Mg 3.20, 4 In 3.20
In 0.0000 0.0000 0.5000 (multiplicity 4)  4 Tl 3.20, 4 In 3.20
In 0.2500 0.2500 0.2500 (multiplicity 4)  4 In 3.20, 4 Mg 3.20

Output
Its total energy is -10.35 eV per formula unit. The value obtained for the calculated volume is 405 Å³/cell. For the formation enthalpy at 0 K, the calculation gives -0.009 eV/atom. The calculation puts the density at 7.52 g/cm³.

- The lowest total energy belongs to which entry?
  Fe2P12W